Record 1
The following is a DFT calculation (PBE-GGA) of a relaxed structure of YTmSc.

a = 3.4619 Å, b = 3.4619 Å, c = 7.6260 Å
α = 103.12°, β = 103.12°, γ = 90.00°
Last column: nearest neighbours and their distance in Å.
Fractional positions:
Y  0.0044  0.0044  0.0088  4 Sc 3.40, 4 Y 3.46, 4 Tm 3.54
Sc  0.6681  0.6681  0.3363  4 Tm 3.36, 4 Y 3.40, 4 Sc 3.46
Tm  0.3275  0.3275  0.6549  4 Sc 3.36, 4 Tm 3.46, 4 Y 3.54

Summary:
E_form   0.05 eV/atom
Energy above the lowest structure with this stoichiometry   0.00 kcal/mol of atoms
Total energy   -17.12 eV per formula unit
Density of states at the Fermi level   4.6 states/eV per cell



Record 2
The following is a DFT calculation (PBE-GGA) of a relaxed structure of Y3Tm2Sc3.

a = 6.2306 Å, b = 6.2306 Å, c = 6.2306 Å
α = 94.19°, β = 94.19°, γ = 85.81°
Last column: nearest neighbours and their distance in Å.
Fractional positions:
Tm  0.7501  0.7501  0.2499  6 Y 3.42-3.54, 6 Sc 3.46-3.52
Tm  0.2499  0.2499  0.7501  6 Y 3.42-3.54, 6 Sc 3.46-3.52
Y  0.5000  0.2584  0.2584  2 Sc 3.13, 2 Tm 3.42
Y  0.7416  0.5000  0.7416  2 Sc 3.13, 2 Tm 3.42
Y  0.2584  0.7416  0.5000  2 Sc 3.13, 2 Tm 3.42
Sc  0.7754  0.0000  0.7754  2 Y 3.13, 2 Sc 3.30, 2 Tm 3.46
Sc  0.0000  0.2246  0.2246  2 Y 3.13, 2 Sc 3.30, 2 Tm 3.46
Sc  0.2246  0.7754  0.0000  2 Y 3.13, 2 Sc 3.30, 2 Tm 3.46

Summary:
E_form   0.23 eV/atom
Energy above the lowest structure with this stoichiometry   4.11 kcal/mol of atoms
Total energy   -45.46 eV per formula unit
Density of states at the Fermi level   14.2 states/eV per cell



Record 3
The following is a DFT calculation (PBE-GGA) of a relaxed structure of Y2Tm4Sc3.

a = 5.6563 Å, b = 9.9329 Å, c = 9.9329 Å
α = 68.55°, β = 84.12°, γ = 84.12°
Last column: nearest neighbours and their distance in Å.
Fractional positions:
Sc  0.5820  0.6847  0.9898  4 Tm 3.25-3.34, 4 Y 3.28-3.38
Sc  0.2500  0.3475  0.6525  8 Tm 3.25-3.34
Sc  0.4180  0.3153  0.0102  4 Tm 3.25-3.34, 4 Y 3.28-3.38
Sc  0.0820  0.9898  0.6847  4 Tm 3.25-3.34, 4 Y 3.28-3.38
Sc  0.9180  0.0102  0.3153  4 Tm 3.25-3.34, 4 Y 3.28-3.38
Sc  0.7500  0.6525  0.3475  8 Tm 3.25-3.34
Y  0.8741  0.3760  0.1603  3 Tm 3.21-3.37, 4 Sc 3.28-3.38, 1 Y 3.51
Y  0.1259  0.6240  0.8397  3 Tm 3.21-3.37, 4 Sc 3.28-3.38, 1 Y 3.51
Y  0.6259  0.8397  0.6240  3 Tm 3.21-3.37, 4 Sc 3.28-3.38, 1 Y 3.51
Y  0.3741  0.1603  0.3760  3 Tm 3.21-3.37, 4 Sc 3.28-3.38, 1 Y 3.51
Tm  0.7098  0.4948  0.7089  2 Y 3.21-3.37, 4 Sc 3.25-3.34, 2 Tm 3.32-3.51
Tm  0.4589  0.9551  0.1707  3 Tm 3.17-3.51, 4 Sc 3.25-3.34, 1 Y 3.34
Tm  0.2902  0.5052  0.2911  2 Y 3.21-3.37, 4 Sc 3.25-3.34, 2 Tm 3.32-3.51
Tm  0.0411  0.8293  0.0449  3 Tm 3.17-3.51, 4 Sc 3.25-3.34, 1 Y 3.34
Tm  0.2098  0.7089  0.4948  2 Y 3.21-3.37, 4 Sc 3.25-3.34, 2 Tm 3.32-3.51
Tm  0.5411  0.0449  0.8293  3 Tm 3.17-3.51, 4 Sc 3.25-3.34, 1 Y 3.34
Tm  0.7902  0.2911  0.5052  2 Y 3.21-3.37, 4 Sc 3.25-3.34, 2 Tm 3.32-3.51
Tm  0.9589  0.1707  0.9551  3 Tm 3.17-3.51, 4 Sc 3.25-3.34, 1 Y 3.34

Summary:
E_form   0.11 eV/atom
Energy above the lowest structure with this stoichiometry   0.91 kcal/mol of atoms
Total energy   -48.79 eV per formula unit
Density of states at the Fermi level   27.2 states/eV per cell



Record 4
The following is a DFT calculation (PBE-GGA) of a relaxed structure of YTmSc6.

a = 4.6959 Å, b = 6.6635 Å, c = 6.6635 Å
α = 90.08°, β = 90.00°, γ = 90.00°
Last column: nearest neighbours and their distance in Å.
Fractional positions:
Y  0.5000  0.5000  0.5000  12 Sc 3.33-3.34
Sc  0.0000  0.2484  0.2484  8 Sc 3.31-3.35, 2 Tm 3.31, 2 Y 3.34
Sc  0.0000  0.7516  0.7516  8 Sc 3.31-3.35, 2 Tm 3.31, 2 Y 3.34
Sc  0.0000  0.2487  0.7513  8 Sc 3.31-3.35, 2 Tm 3.32, 2 Y 3.34
Sc  0.5000  0.5000  0.0000  8 Sc 3.32-3.33, 2 Tm 3.33, 2 Y 3.33
Sc  0.5000  0.0000  0.5000  8 Sc 3.32-3.33, 2 Y 3.33, 2 Tm 3.33
Sc  0.0000  0.7513  0.2487  8 Sc 3.31-3.35, 2 Tm 3.32, 2 Y 3.34
Tm  0.5000  0.0000  0.0000  12 Sc 3.31-3.33

Summary:
E_form   0.06 eV/atom
Energy above the lowest structure with this stoichiometry   1.18 kcal/mol of atoms
Total energy   -48.45 eV per formula unit
Density of states at the Fermi level   15.5 states/eV per cell



Record 5
The following is a DFT calculation (PBE-GGA) of a relaxed structure of YTm3Sc3.

a = 9.0871 Å, b = 9.0871 Å, c = 9.0871 Å
α = 51.48°, β = 51.48°, γ = 51.48°
Last column: nearest neighbours and their distance in Å.
Fractional positions:
Sc  0.5876  0.0512  0.7640  5 Sc 3.19-3.31, 1 Y 3.27, 4 Tm 3.27-3.39
Sc  0.4124  0.9488  0.2360  5 Sc 3.19-3.31, 1 Y 3.27, 4 Tm 3.27-3.39
Sc  0.9488  0.2360  0.4124  5 Sc 3.19-3.31, 1 Y 3.27, 4 Tm 3.27-3.39
Sc  0.7640  0.5876  0.0512  5 Sc 3.19-3.31, 1 Y 3.27, 4 Tm 3.27-3.39
Sc  0.0512  0.7640  0.5876  5 Sc 3.19-3.31, 1 Y 3.27, 4 Tm 3.27-3.39
Sc  0.2360  0.4124  0.9488  5 Sc 3.19-3.31, 1 Y 3.27, 4 Tm 3.27-3.39
Tm  0.7953  0.1044  0.2814  4 Sc 3.27-3.39, 4 Tm 3.36-3.45, 2 Y 3.41-3.42
Tm  0.2047  0.8956  0.7186  4 Sc 3.27-3.39, 4 Tm 3.36-3.45, 2 Y 3.41-3.42
Tm  0.8956  0.7186  0.2047  4 Sc 3.27-3.39, 4 Tm 3.36-3.45, 2 Y 3.41-3.42
Tm  0.1044  0.2814  0.7953  4 Sc 3.27-3.39, 4 Tm 3.36-3.45, 2 Y 3.41-3.42
Tm  0.2814  0.7953  0.1044  4 Sc 3.27-3.39, 4 Tm 3.36-3.45, 2 Y 3.41-3.42
Tm  0.7186  0.2047  0.8956  4 Sc 3.27-3.39, 4 Tm 3.36-3.45, 2 Y 3.41-3.42
Y  0.3133  0.3133  0.3133  3 Sc 3.27, 6 Tm 3.41-3.42
Y  0.6867  0.6867  0.6867  3 Sc 3.27, 6 Tm 3.41-3.42

Summary:
E_form   0.27 eV/atom
Energy above the lowest structure with this stoichiometry   5.68 kcal/mol of atoms
Total energy   -37.02 eV per formula unit
Density of states at the Fermi level   27.8 states/eV per cell



Record 6
The following is a DFT calculation (PBE-GGA) of a relaxed structure of Y16Tm6Sc7.

a = 10.8625 Å, b = 10.8625 Å, c = 10.8625 Å
α = 60.00°, β = 60.00°, γ = 60.00°
Last column: nearest neighbours and their distance in Å.
Fractional positions:
Sc  0.0000  0.0000  0.5000  8 Y 3.15-3.38
Sc  0.0000  0.0000  0.0000  8 Y 3.17
Sc  0.0000  0.5000  0.0000  8 Y 3.15-3.38
Sc  0.5000  0.5000  0.0000  8 Y 3.15-3.38
Sc  0.5000  0.0000  0.5000  8 Y 3.15-3.38
Sc  0.5000  0.0000  0.0000  8 Y 3.15-3.38
Sc  0.0000  0.5000  0.5000  8 Y 3.15-3.38
Y  0.3460  0.3460  0.3460  3 Sc 3.15, 3 Tm 3.48
Y  0.9619  0.3460  0.3460  3 Sc 3.15, 3 Tm 3.48
Y  0.8809  0.8809  0.8809  4 Sc 3.17-3.38
Y  0.1191  0.6428  0.1191  4 Sc 3.17-3.38
Y  0.3572  0.8809  0.8809  4 Sc 3.17-3.38
Y  0.6540  0.6540  0.6540  3 Sc 3.15, 3 Tm 3.48
Y  0.3460  0.3460  0.9619  3 Sc 3.15, 3 Tm 3.48
Y  0.1191  0.1191  0.1191  4 Sc 3.17-3.38
Y  0.3460  0.9619  0.3460  3 Sc 3.15, 3 Tm 3.48
Y  0.6428  0.1191  0.1191  4 Sc 3.17-3.38
Y  0.6540  0.0381  0.6540  3 Sc 3.15, 3 Tm 3.48
Y  0.6540  0.6540  0.0381  3 Sc 3.15, 3 Tm 3.48
Y  0.0381  0.6540  0.6540  3 Sc 3.15, 3 Tm 3.48
Y  0.8809  0.8809  0.3572  4 Sc 3.17-3.38
Y  0.8809  0.3572  0.8809  4 Sc 3.17-3.38
Y  0.1191  0.1191  0.6428  4 Sc 3.17-3.38
Tm  0.7162  0.2838  0.2838  8 Y 3.48-3.62, 4 Sc 3.88
Tm  0.2838  0.7162  0.7162  8 Y 3.48-3.62, 4 Sc 3.88
Tm  0.2838  0.7162  0.2838  8 Y 3.48-3.62, 4 Sc 3.88
Tm  0.7162  0.2838  0.7162  8 Y 3.48-3.62, 4 Sc 3.88
Tm  0.2838  0.2838  0.7162  8 Y 3.48-3.62, 4 Sc 3.88
Tm  0.7162  0.7162  0.2838  8 Y 3.48-3.62, 4 Sc 3.88

Summary:
E_form   0.21 eV/atom
Total energy   -168.43 eV per formula unit
Density of states at the Fermi level   53.4 states/eV per cell



Record 7
The following is a DFT calculation (PBE-GGA) of a relaxed structure of Y4Tm5Sc2.

a = 3.6154 Å, b = 9.5535 Å, c = 17.9655 Å
α = 142.09°, β = 84.25°, γ = 112.21°
Last column: nearest neighbours and their distance in Å.
Fractional positions:
Tm  0.9631  0.7564  0.5869  6 Tm 3.24-3.62, 3 Y 3.44-3.45
Tm  0.7957  0.1013  0.6112  2 Sc 3.22, 4 Tm 3.25-3.27, 3 Y 3.54-3.55
Tm  0.5000  0.0000  0.0000  4 Sc 3.38, 2 Tm 3.62, 6 Y 3.64-3.67
Tm  0.2043  0.8987  0.3888  2 Sc 3.22, 4 Tm 3.25-3.27, 3 Y 3.54-3.55
Tm  0.0369  0.2436  0.4131  6 Tm 3.24-3.62, 3 Y 3.44-3.45
Y  0.2730  0.4223  0.2990  8 Tm 3.45-3.70, 1 Sc 3.58, 4 Y 3.62-3.73
Y  0.7310  0.1641  0.8665  4 Sc 3.41-3.45, 5 Y 3.44-3.73, 3 Tm 3.44-3.67
Y  0.7270  0.5777  0.7010  8 Tm 3.45-3.70, 1 Sc 3.58, 4 Y 3.62-3.73
Y  0.2690  0.8359  0.1335  4 Sc 3.41-3.45, 5 Y 3.44-3.73, 3 Tm 3.44-3.67
Sc  0.4355  0.5016  0.1320  4 Tm 3.22-3.38, 5 Y 3.41-3.58
Sc  0.5645  0.4984  0.8680  4 Tm 3.22-3.38, 5 Y 3.41-3.58

Summary:
E_form   0.06 eV/atom
Energy above the lowest structure with this stoichiometry   0.00 kcal/mol of atoms
Total energy   -60.23 eV per formula unit
Density of states at the Fermi level   16.5 states/eV per cell



Record 8
The following is a DFT calculation (PBE-GGA) of a relaxed structure of YTm2Sc.

a = 3.4935 Å, b = 3.4935 Å, c = 11.2429 Å
α = 81.06°, β = 81.06°, γ = 60.00°
Last column: nearest neighbours and their distance in Å.
Fractional positions:
Sc  0.6662  0.6662  0.0015  6 Tm 3.33-3.36, 6 Sc 3.49
Y  0.5006  0.5006  0.4982  6 Tm 3.49-3.52, 6 Y 3.49
Tm  0.2530  0.2530  0.2411  3 Sc 3.33, 3 Y 3.49, 6 Tm 3.49
Tm  0.0803  0.0803  0.7591  3 Sc 3.36, 6 Tm 3.49, 3 Y 3.52

Summary:
E_form   0.04 eV/atom
Energy above the lowest structure with this stoichiometry   0.17 kcal/mol of atoms
Total energy   -21.59 eV per formula unit
Density of states at the Fermi level   6.6 states/eV per cell



Record 9
The following is a DFT calculation (PBE-GGA) of a relaxed structure of Y2Tm7Sc2.

a = 8.4938 Å, b = 6.3057 Å, c = 6.3032 Å
α = 92.32°, β = 97.39°, γ = 97.41°
Last column: nearest neighbours and their distance in Å.
Fractional positions:
Tm  0.0000  0.0000  0.0000  2 Y 3.48, 10 Tm 3.50-3.82
Tm  0.2201  0.5541  0.9254  2 Sc 3.24-3.45, 3 Y 3.30-3.53, 4 Tm 3.38-3.62
Tm  0.5884  0.8472  0.8474  6 Tm 3.29-3.52, 4 Sc 3.37-3.42, 1 Y 3.41
Tm  0.4116  0.1528  0.1526  6 Tm 3.29-3.52, 4 Sc 3.37-3.42, 1 Y 3.41
Tm  0.7798  0.0749  0.4462  2 Sc 3.24-3.45, 3 Y 3.30-3.53, 4 Tm 3.38-3.62
Tm  0.2202  0.9251  0.5538  2 Sc 3.24-3.45, 3 Y 3.30-3.53, 4 Tm 3.38-3.62
Tm  0.7799  0.4459  0.0746  2 Sc 3.24-3.45, 3 Y 3.30-3.53, 4 Tm 3.38-3.62
Sc  0.4999  0.3290  0.6713  1 Sc 3.11, 8 Tm 3.24-3.45, 2 Y 3.37
Sc  0.5001  0.6710  0.3287  1 Sc 3.11, 8 Tm 3.24-3.45, 2 Y 3.37
Y  0.8562  0.6005  0.6004  1 Y 3.26, 8 Tm 3.30-3.53, 2 Sc 3.37
Y  0.1438  0.3995  0.3996  1 Y 3.26, 8 Tm 3.30-3.53, 2 Sc 3.37

Summary:
E_form   0.12 eV/atom
Total energy   -55.58 eV per formula unit
Density of states at the Fermi level   17.2 states/eV per cell



Record 10
The following is a DFT calculation (PBE-GGA) of a relaxed structure of Y5TmSc4.

a = 6.1432 Å, b = 7.6059 Å, c = 7.6059 Å
α = 80.61°, β = 66.18°, γ = 66.18°
Last column: nearest neighbours and their distance in Å.
Fractional positions:
Y  0.7077  0.0973  0.3927  4 Sc 3.06-3.40, 1 Tm 3.26, 1 Y 3.29
Y  0.1978  0.9027  0.6073  4 Sc 3.06-3.40, 1 Tm 3.26, 1 Y 3.29
Y  0.1004  0.6073  0.0973  4 Sc 3.06-3.40, 1 Tm 3.26, 1 Y 3.29
Y  0.8050  0.3927  0.9027  4 Sc 3.06-3.40, 1 Tm 3.26, 1 Y 3.29
Y  0.6764  0.0000  0.0000  1 Tm 2.81
Sc  0.5069  0.5852  0.3030  1 Sc 2.99, 2 Y 3.06-3.09
Sc  0.8098  0.6970  0.5852  1 Sc 2.99, 2 Y 3.06-3.09
Sc  0.3950  0.4148  0.6970  1 Sc 2.99, 2 Y 3.06-3.09
Sc  0.0920  0.3030  0.4148  1 Sc 2.99, 2 Y 3.06-3.09
Tm  0.2192  0.0000  0.0000  1 Y 2.81

Summary:
E_form   0.34 eV/atom
Energy above the lowest structure with this stoichiometry   6.38 kcal/mol of atoms
Total energy   -58.70 eV per formula unit
Density of states at the Fermi level   16.2 states/eV per cell